1.
Density functional theory data (PBE) for crystalline Er4Ga2Hg5 at its relaxed geometry.

abc: 7.6953 3.6852 9.2859
angles: 90.00 92.90 90.00
Space group P2/m (No. 10)
Inequivalent atoms, fractional coordinates:
Er: 0.1938 0.0000 0.3630 x2
Er: 0.2466 0.0000 0.9200 x2
Ga: 0.0669 0.5000 0.1268 x2
Hg: 0.1483 0.5000 0.6371 x2
Hg: 0.4419 0.5000 0.1698 x2
Hg: 0.5000 0.5000 0.5000 x1

Calculated values
Total magnetization: 0.000 μB per atom
Fermi-level density of states: 5.719 states/eV/cell
Total DFT energy (no corrections): -2.781 eV per atom

2.
Density functional theory data (PBE) for crystalline Ac5Sb2Pb2 at its relaxed geometry.

abc: 17.0005 8.9516 9.0390
angles: 90.00 90.00 90.00
Space group Cmce (No. 64)
Inequivalent atoms, fractional coordinates:
Ac: 0.0000 0.0000 0.0000 x4
Ac: 0.1364 0.1652 0.3387 x16
Sb: 0.0000 0.1397 0.6406 x8
Pb: 0.2021 0.0000 0.0000 x8

Calculated values
Total magnetization: 0.000 μB per atom
Fermi-level density of states: 23.896 states/eV/cell
Total DFT energy (no corrections): -4.813 eV per atom

3.
Density functional theory data (PBE) for crystalline LiBRu2N at its relaxed geometry.

abc: 4.2108 4.2108 2.9124
angles: 90.00 90.00 90.00
Space group P4/mmm (No. 123)
Inequivalent atoms, fractional coordinates:
Li: 0.0000 0.0000 0.0000 x1
B: 0.5000 0.5000 0.0000 x1
Ru: 0.0000 0.5000 0.5000 x2
N: 0.5000 0.5000 0.5000 x1

Calculated values
Total magnetization: 0.000 μB per atom
Fermi-level density of states: 3.500 states/eV/cell
Total DFT energy (no corrections): -6.684 eV per atom

4.
Density functional theory data (PBE) for crystalline CsSeBr3 at its relaxed geometry.

abc: 10.7129 7.4602 11.6484
angles: 90.00 114.35 90.00
Space group P2_1/c (No. 14)
Inequivalent atoms, fractional coordinates:
Cs: 0.2401 0.1996 0.0218 x4
Se: 0.1907 0.7041 0.2868 x4
Br: 0.0085 0.0931 0.6834 x4
Br: 0.3482 0.5380 0.8466 x4
Br: 0.3809 0.9999 0.7924 x4

Calculated values
Total magnetization: 0.000 μB per atom
Fermi-level density of states: 0.000 states/eV/cell
Total DFT energy (no corrections): -2.651 eV per atom

5.
Density functional theory data (PBE) for crystalline TaBeIn2 at its relaxed geometry.

abc: 7.3928 7.3928 5.4599
angles: 90.00 90.00 90.00
Space group I-42d (No. 122)
Inequivalent atoms, fractional coordinates:
Ta: 0.0000 0.0000 0.0000 x4
Be: 0.0000 0.0000 0.5000 x4
In: 0.1955 0.2500 0.6250 x8

Calculated values
Total magnetization: 0.000 μB per atom
Fermi-level density of states: 10.994 states/eV/cell
Total DFT energy (no corrections): -4.664 eV per atom

6.
Density functional theory data (PBE) for crystalline Li2PIr at its relaxed geometry.

abc: 2.7061 2.7061 25.3654
angles: 90.00 90.00 120.00
Space group R-3m (No. 166, hexagonal axes)
Inequivalent atoms, fractional coordinates:
Li: 0.0000 0.0000 0.2458 x6
P: 0.0000 0.0000 0.5000 x3
Ir: 0.0000 0.0000 0.0000 x3

Calculated values
Total magnetization: 0.087 μB per atom
Fermi-level density of states: 7.855 states/eV/cell
Total DFT energy (no corrections): -4.707 eV per atom

7.
Density functional theory data (PBE) for crystalline PrNb2Os2 at its relaxed geometry.

abc: 4.4388 4.4388 10.7373
angles: 90.00 90.00 90.00
Space group I4/mmm (No. 139)
Inequivalent atoms, fractional coordinates:
Pr: 0.0000 0.0000 0.0000 x2
Nb: 0.0000 0.5000 0.2500 x4
Os: 0.0000 0.0000 0.3802 x4

Calculated values
Total magnetization: 0.000 μB per atom
Fermi-level density of states: 6.152 states/eV/cell
Total DFT energy (no corrections): -9.696 eV per atom

8.
Density functional theory data (PBE) for crystalline CrGeTeRu at its relaxed geometry.

abc: 7.4355 4.2508 5.2454
angles: 90.00 92.71 90.00
Space group Cm (No. 8)
Inequivalent atoms, fractional coordinates:
Cr: 0.0000 0.0000 0.0000 x2
Ge: 0.3339 0.0000 0.7679 x2
Te: 0.0859 0.5000 0.2981 x2
Ru: 0.1775 0.5000 0.7972 x2

Calculated values
Total magnetization: 0.701 μB per atom
Fermi-level density of states: 5.767 states/eV/cell
Relative energy among the computed polymorphs: 0.095 eV/atom